NiMoP4 (PBE, optimized geometry); calculated volume = 182.7 Å³/cell; formation energy = -267.0 meV/atom; polymorph energy (0 for the lowest one) = 0.000 eV/atom; electronic total energy = -6.64 eV/atom
1.0
6.537 0.000 0.000
0.000 5.186 0.002
0.000 -0.022 5.391
Ni Mo P
2 2 8
Direct
0.385 0.500 0.750
0.615 0.500 0.250
0.903 0.000 0.750
0.097 0.000 0.250
0.903 0.663 0.054
0.903 0.337 0.446
0.097 0.337 0.946
0.097 0.663 0.554
0.591 0.826 0.557
0.591 0.174 0.943
0.409 0.174 0.443
0.409 0.826 0.057